First-principles (GGA-PBE) data for an optimized crystal structure of PmCuI, as listed in Alexandria.

## Properties
- N(E_F) (states/eV per cell) = 1.4
- uncorrected formation energy (eV/atom) = -0.78
- M_tot (μB/f.u.) = 0.00
- E_tot (eV per atom) = -4.2489

Unit cell a=4.234 b=4.234 c=12.216 alpha=86.33 beta=86.33 gamma=59.15
Fractional coordinates of all 6 atoms:
Pm  0.012  0.012  0.656
Pm  0.988  0.988  0.344
Cu  0.664  0.664  0.501
Cu  0.336  0.336  0.499
I  0.681  0.681  0.168
I  0.319  0.319  0.832